(1)
Here is Ho4AgHgAu2 after structural relaxation from the Alexandria database. Energies are from PBE.

```
Ho4AgHgAu2
1.0
2.5592 1.4775 8.3706
-2.5592 1.4775 8.3706
0.0000 -2.9551 8.3706
Ho Ag Hg Au
4 1 1 2
Direct
0.1235 0.1235 0.1235 Ho
0.3738 0.3738 0.3738 Ho
0.6262 0.6262 0.6262 Ho
0.8765 0.8765 0.8765 Ho
0.0000 0.0000 0.0000 Ag
0.5000 0.5000 0.5000 Hg
0.2502 0.2502 0.2502 Au
0.7498 0.7498 0.7498 Au
```



(2)
Here is InAgHgAu2 after structural relaxation from the Alexandria database. Energies are from PBE.

```
InAgHgAu2
1.0
5.2298 0.0000 0.0000
0.0000 5.2298 0.0000
0.0000 0.0000 5.3540
In Ag Hg Au
1 1 1 2
Direct
0.0000 0.0000 0.0000 In
0.0000 0.0000 0.5000 Ag
0.5000 0.5000 0.5000 Hg
0.0000 0.5000 0.0000 Au
0.5000 0.0000 0.0000 Au
```



(3)
Here is InAgHgAu after structural relaxation from the Alexandria database. Energies are from PBE.

```
InAgHgAu
1.0
0.0000 3.4648 3.4648
3.4648 0.0000 3.4648
3.4648 3.4648 0.0000
In Ag Hg Au
1 1 1 1
Direct
0.0000 0.0000 0.0000 In
0.2500 0.2500 0.2500 Ag
0.5000 0.5000 0.5000 Hg
0.7500 0.7500 0.7500 Au
```



(4)
Here is In2Ag7Hg2Au after structural relaxation from the Alexandria database. Energies are from PBE.

```
In2Ag7Hg2Au
1.0
2.8207 -2.8141 0.0000
2.8207 2.8141 0.0000
-1.7607 0.0000 16.0252
In Ag Hg Au
2 7 2 1
Direct
0.1133 0.1133 0.2735 In
0.8867 0.8867 0.7265 In
0.0000 0.0000 0.0000 Ag
0.0489 0.5518 0.1375 Ag
0.2128 0.2128 0.4542 Ag
0.4482 0.9511 0.8625 Ag
0.5518 0.0489 0.1375 Ag
0.7872 0.7872 0.5458 Ag
0.9511 0.4482 0.8625 Ag
0.3406 0.3406 0.6310 Hg
0.6594 0.6594 0.3690 Hg
0.5000 0.5000 0.0000 Au
```



(5)
K2AgHgAu | the Alexandria database | PBE | optimized geometry; distance to the lowest polymorph of the same formula = 160 meV/atom
1.0
6.4667 0.0000 0.0000
0.0000 6.4667 0.0000
0.0000 0.0000 5.2224
K Ag Hg Au
2 1 1 1
Direct
0.0000 0.5000 0.0000 K
0.5000 0.0000 0.0000 K
0.0000 0.0000 0.5000 Ag
0.5000 0.5000 0.0000 Hg
0.5000 0.5000 0.5000 Au



(6)
K2AgHgAu | the Alexandria database | PBE | optimized geometry; distance to the lowest polymorph of the same formula = 0 meV/atom
1.0
6.2504 0.0000 0.0000
0.0000 6.2504 0.0000
0.0000 0.0000 5.2750
K Ag Hg Au
2 1 1 1
Direct
0.0000 0.5000 0.0000 K
0.5000 0.0000 0.0000 K
0.0000 0.0000 0.5000 Ag
0.5000 0.5000 0.5000 Hg
0.0000 0.0000 0.0000 Au



(7)
Here is La4AgHgAu2 after structural relaxation from the Alexandria database. Energies are from PBE.

```
La4AgHgAu2
1.0
2.7034 1.5608 8.8172
-2.7034 1.5608 8.8172
0.0000 -3.1216 8.8172
La Ag Hg Au
4 1 1 2
Direct
0.1230 0.1230 0.1230 La
0.3732 0.3732 0.3732 La
0.6268 0.6268 0.6268 La
0.8770 0.8770 0.8770 La
0.0000 0.0000 0.0000 Ag
0.5000 0.5000 0.5000 Hg
0.2489 0.2489 0.2489 Au
0.7511 0.7511 0.7511 Au
```



(8)
Here is LaAgHgAu after structural relaxation from the Alexandria database. Energies are from PBE.

```
LaAgHgAu
1.0
0.0000 3.6248 3.6248
3.6248 0.0000 3.6248
3.6248 3.6248 0.0000
La Ag Hg Au
1 1 1 1
Direct
0.0000 0.0000 0.0000 La
0.5000 0.5000 0.5000 Ag
0.7500 0.7500 0.7500 Hg
0.2500 0.2500 0.2500 Au
```



V? In order: 23.7; 29.3; 20.8; 21.2; 43.7; 41.2; 27.9; 23.8 Å³ per atom.
Uncorrected energy? In order: -4.134; -2.016; -2.265; -2.366; -1.613; -1.773; -4.251; -3.304 eV per atom.
Formation energy? In order: -0.632; 0.474; 0.027; 0.077; 0.112; -0.048; -0.574; -0.465 eV per atom.